w) The following is a DFT calculation (PBE) of a geometry-optimized TbNd8Sm6 structure.

* DOS(E_F): 22.69 states/eV per cell
* total magnetization: 0.0 μB per formula unit

Lattice parameters (Å, degrees): 6.685 9.534 9.534 120.00 90.00 90.00
Atoms (fractional coordinates):
1 Nd 0.836 0.253 0.969
2 Tb 0.500 0.000 0.000
3 Nd 0.114 0.667 0.333
4 Sm 0.342 0.346 0.913
5 Nd 0.886 0.333 0.667
6 Sm 0.342 0.567 0.654
7 Sm 0.342 0.087 0.433
8 Sm 0.658 0.433 0.346
9 Nd 0.836 0.716 0.747
10 Nd 0.164 0.284 0.253
11 Nd 0.164 0.969 0.716
12 Nd 0.164 0.747 0.031
13 Sm 0.658 0.654 0.087
14 Sm 0.658 0.913 0.567
15 Nd 0.836 0.031 0.284

---

x) The following is a DFT calculation (PBE) of a geometry-optimized TbNd8Sm6 structure.

* DOS(E_F): 22.03 states/eV per cell
* total magnetization: 0.0 μB per formula unit

Lattice parameters (Å, degrees): 9.272 9.272 8.826 58.32 58.32 60.00
Atoms (fractional coordinates):
1 Nd 0.578 0.578 0.267
2 Nd 0.422 0.422 0.733
3 Sm 0.461 0.901 0.879
4 Nd 0.251 0.282 0.580
5 Sm 0.241 0.539 0.121
6 Nd 0.282 0.887 0.580
7 Sm 0.539 0.099 0.121
8 Tb 0.000 0.000 0.000
9 Sm 0.759 0.461 0.879
10 Nd 0.113 0.749 0.420
11 Sm 0.901 0.759 0.879
12 Nd 0.718 0.113 0.420
13 Nd 0.749 0.718 0.420
14 Sm 0.099 0.241 0.121
15 Nd 0.887 0.251 0.580

---

Tell me which of them is the most stable. Sure, it is x).

---

w) The following is a DFT calculation (PBE) of a geometry-optimized Tb3Nd2Sm5 structure.

* DOS(E_F): 37.20 states/eV per cell
* total magnetization: 0.0 μB per formula unit

Lattice parameters (Å, degrees): 9.595 9.631 11.242 125.66 125.59 68.75
Atoms (fractional coordinates):
1 Tb 0.267 0.537 0.758
2 Nd 0.783 0.016 0.750
3 Sm 0.604 0.850 0.238
4 Nd 0.217 0.984 0.250
5 Sm 0.134 0.388 0.238
6 Tb 0.733 0.463 0.242
7 Tb 0.009 0.779 0.242
8 Sm 0.477 0.727 0.454
9 Tb 0.772 0.022 0.045
10 Sm 0.981 0.231 0.461
11 Sm 0.396 0.150 0.762
12 Tb 0.991 0.221 0.758
13 Tb 0.228 0.978 0.955
14 Sm 0.280 0.530 0.060
15 Sm 0.720 0.470 0.940
16 Nd 0.533 0.267 0.250
17 Sm 0.523 0.273 0.546
18 Sm 0.019 0.769 0.539
19 Sm 0.866 0.612 0.762
20 Nd 0.467 0.733 0.750

---

x) The following is a DFT calculation (PBE) of a geometry-optimized Tb3Nd2Sm5 structure.

* DOS(E_F): 29.75 states/eV per cell
* total magnetization: 0.0 μB per formula unit

Lattice parameters (Å, degrees): 6.896 12.443 12.443 44.70 73.91 73.91
Atoms (fractional coordinates):
1 Tb 0.878 0.873 0.371
2 Tb 0.250 0.000 0.000
3 Tb 0.750 0.000 0.000
4 Sm 0.626 0.281 0.466
5 Sm 0.501 0.249 0.249
6 Sm 0.374 0.719 0.534
7 Sm 0.126 0.466 0.281
8 Nd 0.123 0.777 0.977
9 Tb 0.378 0.371 0.873
10 Tb 0.122 0.127 0.629
11 Nd 0.623 0.977 0.777
12 Sm 0.250 0.500 0.500
13 Tb 0.622 0.629 0.127
14 Sm 0.874 0.534 0.719
15 Sm 0.001 0.249 0.249
16 Sm 0.750 0.500 0.500
17 Sm 0.499 0.751 0.751
18 Nd 0.377 0.023 0.223
19 Nd 0.877 0.223 0.023
20 Sm 0.999 0.751 0.751

---

Tell me which of them is the most stable. Sure, it is w).

---

w) The following is a DFT calculation (PBE) of a geometry-optimized Tb12Nd2Sm5 structure.

* DOS(E_F): 26.62 states/eV per cell
* total magnetization: 0.0 μB per formula unit

Lattice parameters (Å, degrees): 9.323 12.402 8.705 132.65 90.00 112.08
Atoms (fractional coordinates):
1 Tb 0.558 0.115 0.777
2 Tb 0.075 0.150 0.275
3 Sm 0.769 0.539 0.111
4 Sm 0.000 0.000 0.500
5 Tb 0.561 0.740 0.408
6 Tb 0.672 0.702 0.943
7 Sm 0.231 0.461 0.889
8 Sm 0.707 0.415 0.391
9 Tb 0.970 0.298 0.057
10 Tb 0.925 0.850 0.725
11 Tb 0.439 0.260 0.592
12 Tb 0.328 0.298 0.057
13 Tb 0.030 0.702 0.943
14 Tb 0.442 0.885 0.223
15 Nd 0.674 0.000 0.000
16 Sm 0.293 0.585 0.609
17 Tb 0.179 0.740 0.408
18 Nd 0.326 0.000 0.000
19 Tb 0.821 0.260 0.592

---

x) The following is a DFT calculation (PBE) of a geometry-optimized Tb12Nd2Sm5 structure.

* DOS(E_F): 30.96 states/eV per cell
* total magnetization: 0.0 μB per formula unit

Lattice parameters (Å, degrees): 6.842 15.101 16.308 155.18 91.02 100.03
Atoms (fractional coordinates):
1 Sm 0.766 0.534 0.498
2 Tb 0.116 0.596 0.983
3 Sm 0.000 0.000 0.500
4 Tb 0.390 0.488 0.068
5 Tb 0.884 0.404 0.017
6 Tb 0.621 0.526 0.281
7 Tb 0.566 0.941 0.766
8 Tb 0.085 0.997 0.752
9 Nd 0.737 0.959 0.992
10 Tb 0.084 0.445 0.259
11 Tb 0.434 0.059 0.234
12 Nd 0.263 0.041 0.008
13 Tb 0.916 0.555 0.741
14 Tb 0.610 0.512 0.932
15 Sm 0.425 0.942 0.556
16 Tb 0.379 0.474 0.719
17 Sm 0.234 0.466 0.502
18 Tb 0.915 0.003 0.248
19 Sm 0.575 0.058 0.444

---

Tell me which of them is the most stable. Sure, it is x).

---

w) The following is a DFT calculation (PBE) of a geometry-optimized Tb2Nd5Sm12 structure.

* DOS(E_F): 31.36 states/eV per cell
* total magnetization: 0.0 μB per formula unit

Lattice parameters (Å, degrees): 7.181 10.009 10.515 70.08 90.00 111.02
Atoms (fractional coordinates):
1 Sm 0.911 0.318 0.133
2 Nd 0.324 0.648 0.210
3 Nd 0.676 0.352 0.790
4 Sm 0.407 0.318 0.133
5 Sm 0.501 0.002 0.678
6 Tb 0.722 0.000 0.000
7 Sm 0.089 0.682 0.867
8 Tb 0.278 0.000 0.000
9 Nd 0.000 0.000 0.500
10 Nd 0.186 0.372 0.816
11 Sm 0.499 0.998 0.322
12 Sm 0.025 0.049 0.757
13 Nd 0.814 0.628 0.184
14 Sm 0.593 0.682 0.867
15 Sm 0.086 0.669 0.521
16 Sm 0.914 0.331 0.479
17 Sm 0.417 0.331 0.479
18 Sm 0.583 0.669 0.521
19 Sm 0.975 0.951 0.243

---

x) The following is a DFT calculation (PBE) of a geometry-optimized Tb2Nd5Sm12 structure.

* DOS(E_F): 28.17 states/eV per cell
* total magnetization: 0.0 μB per formula unit

Lattice parameters (Å, degrees): 6.253 10.787 10.787 66.37 79.16 79.18
Atoms (fractional coordinates):
1 Sm 0.200 0.548 0.057
2 Nd 0.552 0.786 0.786
3 Nd 0.448 0.214 0.214
4 Sm 0.004 0.120 0.120
5 Nd 0.858 0.324 0.324
6 Nd 0.500 0.000 0.000
7 Sm 0.274 0.447 0.447
8 Sm 0.800 0.943 0.452
9 Tb 0.000 0.772 0.228
10 Sm 0.200 0.057 0.548
11 Tb 0.000 0.228 0.772
12 Sm 0.382 0.357 0.849
13 Sm 0.726 0.553 0.553
14 Sm 0.382 0.849 0.357
15 Sm 0.996 0.880 0.880
16 Sm 0.618 0.151 0.643
17 Sm 0.800 0.452 0.943
18 Nd 0.142 0.676 0.676
19 Sm 0.618 0.643 0.151

---

Tell me which of them is the most stable. Sure, it is x).

---

w) The following is a DFT calculation (PBE) of a geometry-optimized TbNd6Sm3 structure.

* DOS(E_F): 19.84 states/eV per cell
* total magnetization: 0.0 μB per formula unit

Lattice parameters (Å, degrees): 10.053 10.053 7.047 44.50 44.50 60.00
Atoms (fractional coordinates):
1 Nd 0.773 0.099 0.701
2 Nd 0.927 0.602 0.198
3 Nd 0.273 0.927 0.198
4 Sm 0.600 0.600 0.201
5 Nd 0.427 0.773 0.701
6 Sm 0.100 0.100 0.700
7 Nd 0.602 0.273 0.198
8 Nd 0.099 0.427 0.701
9 Sm 0.350 0.350 0.951
10 Tb 0.850 0.850 0.451

---

x) The following is a DFT calculation (PBE) of a geometry-optimized TbNd6Sm3 structure.

* DOS(E_F): 26.41 states/eV per cell
* total magnetization: 0.0 μB per formula unit

Lattice parameters (Å, degrees): 6.491 11.150 11.150 120.72 90.00 90.00
Atoms (fractional coordinates):
1 Nd 0.056 0.711 0.629
2 Sm 0.584 0.616 0.384
3 Nd 0.556 0.629 0.711
4 Nd 0.370 0.525 0.942
5 Sm 0.962 0.057 0.291
6 Sm 0.962 0.709 0.943
7 Nd 0.556 0.289 0.371
8 Nd 0.863 0.035 0.965
9 Nd 0.870 0.942 0.525
10 Sm 0.084 0.384 0.616
11 Nd 0.870 0.475 0.058
12 Nd 0.151 0.721 0.279
13 Tb 0.113 0.192 0.808
14 Sm 0.462 0.943 0.709
15 Nd 0.370 0.058 0.475
16 Nd 0.056 0.371 0.289
17 Nd 0.651 0.279 0.721
18 Sm 0.462 0.291 0.057
19 Nd 0.363 0.965 0.035
20 Tb 0.613 0.808 0.192

---

Tell me which of them is the most stable. Sure, it is x).

---

w) The following is a DFT calculation (PBE) of a geometry-optimized Tb3NdSm6 structure.

* DOS(E_F): 30.29 states/eV per cell
* total magnetization: 0.0 μB per formula unit

Lattice parameters (Å, degrees): 6.472 11.741 11.741 130.84 90.00 90.00
Atoms (fractional coordinates):
1 Sm 0.075 0.739 0.620
2 Sm 0.830 0.892 0.456
3 Sm 0.330 0.456 0.892
4 Nd 0.009 0.158 0.842
5 Tb 0.984 0.041 0.296
6 Sm 0.801 0.301 0.699
7 Tb 0.097 0.419 0.581
8 Tb 0.597 0.581 0.419
9 Sm 0.575 0.620 0.739
10 Sm 0.075 0.380 0.261
11 Tb 0.984 0.704 0.959
12 Sm 0.575 0.261 0.380
13 Nd 0.509 0.842 0.158
14 Tb 0.484 0.296 0.041
15 Tb 0.484 0.959 0.704
16 Sm 0.301 0.986 0.014
17 Sm 0.330 0.108 0.544
18 Sm 0.301 0.699 0.301
19 Sm 0.830 0.544 0.108
20 Sm 0.801 0.014 0.986

---

x) The following is a DFT calculation (PBE) of a geometry-optimized Tb3NdSm6 structure.

* DOS(E_F): 28.72 states/eV per cell
* total magnetization: 0.0 μB per formula unit

Lattice parameters (Å, degrees): 6.328 11.090 11.090 120.26 90.00 90.00
Atoms (fractional coordinates):
1 Sm 0.547 0.626 0.709
2 Tb 0.962 0.058 0.288
3 Sm 0.047 0.709 0.626
4 Sm 0.547 0.291 0.374
5 Sm 0.373 0.529 0.947
6 Tb 0.462 0.942 0.712
7 Sm 0.873 0.947 0.529
8 Sm 0.047 0.374 0.291
9 Tb 0.962 0.712 0.942
10 Tb 0.583 0.615 0.385
11 Nd 0.115 0.196 0.804
12 Sm 0.143 0.720 0.280
13 Tb 0.083 0.385 0.615
14 Sm 0.879 0.038 0.962
15 Sm 0.373 0.053 0.471
16 Sm 0.379 0.962 0.038
17 Tb 0.462 0.288 0.058
18 Sm 0.643 0.280 0.720
19 Nd 0.615 0.804 0.196
20 Sm 0.873 0.471 0.053

---

Tell me which of them is the most stable. Sure, it is w).

---

w) The following is a DFT calculation (PBE) of a geometry-optimized Tb3Nd4Sm structure.

* DOS(E_F): 28.38 states/eV per cell
* total magnetization: 0.0 μB per formula unit

Lattice parameters (Å, degrees): 6.346 7.350 11.712 90.00 90.00 90.00
Atoms (fractional coordinates):
1 Tb 0.148 0.378 0.500
2 Nd 0.149 0.872 0.500
3 Tb 0.481 0.378 0.250
4 Nd 0.482 0.874 0.248
5 Tb 0.981 0.622 0.750
6 Tb 0.481 0.378 0.750
7 Nd 0.982 0.126 0.252
8 Sm 0.649 0.624 0.500
9 Nd 0.145 0.873 0.000
10 Nd 0.982 0.126 0.748
11 Tb 0.648 0.622 0.000
12 Nd 0.482 0.874 0.752
13 Tb 0.981 0.622 0.250
14 Nd 0.645 0.127 0.500
15 Nd 0.649 0.128 0.000
16 Sm 0.149 0.376 0.000

---

x) The following is a DFT calculation (PBE) of a geometry-optimized Tb3Nd4Sm structure.

* DOS(E_F): 24.35 states/eV per cell
* total magnetization: 0.0 μB per formula unit

Lattice parameters (Å, degrees): 7.257 7.253 10.277 90.00 90.00 90.00
Atoms (fractional coordinates):
1 Nd 0.000 0.311 0.500
2 Nd 0.500 0.310 0.000
3 Tb 0.000 0.310 0.000
4 Tb 0.751 0.561 0.250
5 Nd 0.751 0.061 0.250
6 Tb 0.751 0.561 0.750
7 Tb 0.249 0.061 0.250
8 Nd 0.000 0.811 0.000
9 Tb 0.000 0.810 0.500
10 Tb 0.249 0.061 0.750
11 Nd 0.500 0.810 0.500
12 Sm 0.500 0.811 0.000
13 Nd 0.751 0.061 0.750
14 Nd 0.249 0.561 0.750
15 Nd 0.249 0.561 0.250
16 Sm 0.500 0.311 0.500

---

Tell me which of them is the most stable. Sure, it is x).

---

w) The following is a DFT calculation (PBE) of a geometry-optimized TbNd4Sm5 structure.

* DOS(E_F): 14.37 states/eV per cell
* total magnetization: 0.0 μB per formula unit

Lattice parameters (Å, degrees): 3.588 11.279 8.956 89.95 101.81 89.98
Atoms (fractional coordinates):
1 Nd 0.345 0.750 0.693
2 Sm 0.174 0.946 0.347
3 Sm 0.500 0.500 0.000
4 Nd 0.033 0.751 0.059
5 Nd 0.655 0.250 0.307
6 Sm 0.174 0.556 0.348
7 Tb 0.500 0.000 0.000
8 Sm 0.826 0.054 0.653
9 Nd 0.967 0.249 0.941
10 Sm 0.826 0.444 0.652

---

x) The following is a DFT calculation (PBE) of a geometry-optimized TbNd4Sm5 structure.

* DOS(E_F): 25.47 states/eV per cell
* total magnetization: 0.0 μB per formula unit

Lattice parameters (Å, degrees): 5.839 10.828 10.825 90.00 90.00 90.00
Atoms (fractional coordinates):
1 Sm 0.166 0.838 0.162
2 Nd 0.633 0.294 0.000
3 Sm 0.834 0.338 0.338
4 Sm 0.000 0.000 0.500
5 Nd 0.367 0.500 0.794
6 Nd 0.367 0.206 0.500
7 Sm 0.166 0.162 0.162
8 Sm 0.166 0.162 0.838
9 Sm 0.834 0.338 0.662
10 Sm 0.834 0.662 0.662
11 Nd 0.367 0.794 0.500
12 Nd 0.367 0.500 0.206
13 Tb 0.633 0.000 0.000
14 Nd 0.633 0.000 0.706
15 Sm 0.834 0.662 0.338
16 Nd 0.633 0.000 0.294
17 Sm 0.166 0.838 0.838
18 Nd 0.633 0.706 0.000
19 Sm 0.000 0.500 0.000
20 Tb 0.367 0.500 0.500

---

Tell me which of them is the most stable. Sure, it is w).